{"formula": "SrCuPb2S4", "functional": "PBE-GGA", "state": "relaxed", "spacegroup": "No. 63", "lattice_angstrom": [[4.086, 0.000, 0.000], [-2.043, 6.774, 0.000], [0.000, 0.000, 14.177]], "species": ["Sr", "Sr", "Cu", "Cu", "Pb", "Pb", "Pb", "Pb", "S", "S", "S", "S", "S", "S", "S", "S"], "fractional_positions": [[0.104, 0.208, 0.750], [0.896, 0.792, 0.250], [0.841, 0.683, 0.750], [0.159, 0.317, 0.250], [0.364, 0.729, 0.553], [0.636, 0.271, 0.053], [0.636, 0.271, 0.447], [0.364, 0.729, 0.947], [0.279, 0.557, 0.132], [0.721, 0.443, 0.632], [0.721, 0.443, 0.868], [0.279, 0.557, 0.368], [0.000, 0.000, 0.500], [0.000, 0.000, 0.000], [0.431, 0.862, 0.750], [0.569, 0.138, 0.250]]}

***

{"formula": "Cu2PtCl", "functional": "PBE-GGA", "state": "relaxed", "spacegroup": "No. 8", "lattice_angstrom": [[-5.977, 1.339, -3.112], [-6.482, -1.508, -1.705], [-1.042, 1.425, 2.510]], "species": ["Cu", "Cu", "Pt", "Cl"], "fractional_positions": [[0.930, 0.930, 0.988], [0.334, 0.334, 0.491], [0.528, 0.528, 0.480], [0.708, 0.708, 0.541]]}

***

{"formula": "AcPr2Pb", "functional": "PBE-GGA", "state": "relaxed", "spacegroup": "No. 160", "ef_mev_per_atom": -135, "lattice_angstrom": [[3.812, 0.000, 0.000], [1.906, 3.301, 0.000], [1.906, 1.100, 11.573]], "species": ["Ac", "Pr", "Pr", "Pb"], "fractional_positions": [[0.500, 0.500, 0.500], [0.077, 0.077, 0.770], [0.257, 0.257, 0.229], [0.666, 0.666, 0.001]]}

***

{"formula": "PrEr2Ag", "functional": "PBE-GGA", "state": "relaxed", "spacegroup": "No. 160", "ef_mev_per_atom": 1, "lattice_angstrom": [[-0.640, 3.197, -1.590], [-2.949, 1.913, 0.896], [4.175, 6.489, 7.230]], "species": ["Pr", "Er", "Er", "Ag"], "fractional_positions": [[0.500, 0.500, 0.499], [0.071, 0.071, 0.786], [0.262, 0.262, 0.214], [0.666, 0.666, 0.001]]}

***

{"formula": "IrPtPb2O", "functional": "PBE-GGA", "state": "relaxed", "spacegroup": "No. 8", "lattice_angstrom": [[5.692, 0.000, 0.001], [0.000, 3.427, 0.000], [-1.605, 0.000, 9.987]], "species": ["Ir", "Ir", "Pt", "Pt", "Pb", "Pb", "Pb", "Pb", "O", "O"], "fractional_positions": [[0.048, 0.000, 0.519], [0.048, 0.500, 0.019], [0.339, 0.000, 0.178], [0.339, 0.500, 0.678], [0.396, 0.000, 0.906], [0.396, 0.500, 0.406], [0.846, 0.000, 0.218], [0.846, 0.500, 0.718], [0.844, 0.000, 0.946], [0.844, 0.500, 0.446]]}

***

{"formula": "NbTlAgBr6", "functional": "PBE-GGA", "state": "relaxed", "spacegroup": "No. 163", "lattice_angstrom": [[-6.452, -2.961, -1.610], [3.329, -1.703, 6.246], [-6.380, 10.499, 6.264]], "species": ["Nb", "Nb", "Tl", "Tl", "Ag", "Ag", "Br", "Br", "Br", "Br", "Br", "Br", "Br", "Br", "Br", "Br", "Br", "Br"], "fractional_positions": [[0.667, 0.333, 0.250], [0.333, 0.667, 0.750], [0.000, 0.000, 0.000], [0.000, 0.000, 0.500], [0.333, 0.667, 0.250], [0.667, 0.333, 0.750], [0.642, 0.611, 0.141], [0.969, 0.358, 0.141], [0.358, 0.969, 0.641], [0.031, 0.642, 0.859], [0.389, 0.358, 0.359], [0.969, 0.611, 0.359], [0.611, 0.969, 0.859], [0.642, 0.031, 0.359], [0.031, 0.389, 0.641], [0.389, 0.031, 0.141], [0.611, 0.642, 0.641], [0.358, 0.389, 0.859]]}

***

Across the entries above, M_tot takes the values 0.00 0.00 0.00 0.00 0.00 1.00 μB/f.u., respectively.
Across the entries above, raw total energy takes the values -71.8 -15.9 -17.9 -16.8 -55.6 -63.6 eV/cell, respectively.